[1]
Compound: LiTiSbRu
Source: Alexandria via LeMat-Bulk
Functional: GGA-PBE
Structure: optimized geometry

```
LiTiSbRu
1.0
0.000 3.137 3.137
3.137 0.000 3.137
3.137 3.137 0.000
Li Ti Sb Ru
1 1 1 1
Direct
0.000 0.000 0.000 Li
0.250 0.250 0.250 Ti
0.750 0.750 0.750 Sb
0.500 0.500 0.500 Ru
```

Output
The value obtained for the magnetic moment is 0.00 Bohr magnetons per cell. As for the formation energy from raw total energies: -0.564 eV per atom. The value obtained for the electronic total energy is -25.46 eV for the cell shown. The space group is F-43m (216). As for the density: 7.47 g/cm3.

=====

[2]
Compound: LiTlSb2Ru
Source: Alexandria via LeMat-Bulk
Functional: GGA-PBE
Structure: optimized geometry

```
LiTlSb2Ru
1.0
5.197 0.000 0.000
0.000 5.197 0.000
0.000 0.000 5.271
Li Tl Sb Ru
1 1 2 1
Direct
0.000 0.000 0.000 Li
0.500 0.500 0.000 Tl
0.000 0.500 0.500 Sb
0.500 0.000 0.500 Sb
0.500 0.500 0.500 Ru
```

Output
The value obtained for the magnetic moment is 0.00 Bohr magnetons per cell. As for the formation energy from raw total energies: 0.231 eV per atom. The value obtained for the electronic total energy is -20.64 eV for the cell shown. The space group is P4/mmm (123). As for the density: 6.48 g/cm3.

=====

[3]
Compound: LiTmSbRu
Source: Alexandria via LeMat-Bulk
Functional: GGA-PBE
Structure: optimized geometry

```
LiTmSbRu
1.0
0.000 3.300 3.300
3.300 0.000 3.300
3.300 3.300 0.000
Li Tm Sb Ru
1 1 1 1
Direct
0.000 0.000 0.000 Li
0.750 0.750 0.750 Tm
0.250 0.250 0.250 Sb
0.500 0.500 0.500 Ru
```

Output
The value obtained for the magnetic moment is 0.00 Bohr magnetons per cell. As for the formation energy from raw total energies: -0.526 eV per atom. The value obtained for the electronic total energy is -21.89 eV for the cell shown. The space group is F-43m (216). As for the density: 9.21 g/cm3.

=====

[4]
Compound: LiUSbRu
Source: Alexandria via LeMat-Bulk
Functional: GGA-PBE
Structure: optimized geometry

```
LiUSbRu
1.0
0.000 3.330 3.330
3.330 0.000 3.330
3.330 3.330 0.000
Li U Sb Ru
1 1 1 1
Direct
0.000 0.000 0.000 Li
0.750 0.750 0.750 U
0.250 0.250 0.250 Sb
0.500 0.500 0.500 Ru
```

Output
The value obtained for the magnetic moment is 2.00 Bohr magnetons per cell. As for the formation energy from raw total energies: -0.212 eV per atom. The value obtained for the electronic total energy is -27.45 eV for the cell shown. The space group is F-43m (216). As for the density: 10.52 g/cm3.

=====

[5]
Compound: LiVSbRu2
Source: Alexandria via LeMat-Bulk
Functional: GGA-PBE
Structure: optimized geometry

```
LiVSbRu2
1.0
4.489 0.000 0.000
0.000 4.489 0.000
0.000 0.000 5.023
Li V Sb Ru
1 1 1 2
Direct
0.000 0.000 0.000 Li
0.500 0.500 0.500 V
0.500 0.500 0.000 Sb
0.000 0.500 0.500 Ru
0.500 0.000 0.500 Ru
```

Output
The value obtained for the magnetic moment is 0.00 Bohr magnetons per cell. As for the formation energy from raw total energies: 0.781 eV per atom. The value obtained for the electronic total energy is -29.80 eV for the cell shown. The space group is P4/mmm (123). As for the density: 6.26 g/cm3.

=====

[6]
Compound: LiSbRu2W
Source: Alexandria via LeMat-Bulk
Functional: GGA-PBE
Structure: optimized geometry

```
LiSbRu2W
1.0
4.202 0.000 0.000
0.000 4.202 0.000
0.000 0.000 4.297
Li Sb Ru W
1 1 2 1
Direct
0.000 0.000 0.000 Li
0.000 0.000 0.500 Sb
0.000 0.500 0.000 Ru
0.500 0.000 0.000 Ru
0.500 0.500 0.500 W
```

Output
The value obtained for the magnetic moment is 0.00 Bohr magnetons per cell. As for the formation energy from raw total energies: 1.103 eV per atom. The value obtained for the electronic total energy is -32.03 eV for the cell shown. The space group is P4/mmm (123). As for the density: 11.26 g/cm3.

=====

[7]
Compound: LiZnSbRu
Source: Alexandria via LeMat-Bulk
Functional: GGA-PBE
Structure: optimized geometry

```
LiZnSbRu
1.0
0.000 3.153 3.153
3.153 0.000 3.153
3.153 3.153 0.000
Li Zn Sb Ru
1 1 1 1
Direct
0.000 0.000 0.000 Li
0.750 0.750 0.750 Zn
0.250 0.250 0.250 Sb
0.500 0.500 0.500 Ru
```

Output
The value obtained for the magnetic moment is 0.00 Bohr magnetons per cell. As for the formation energy from raw total energies: -0.187 eV per atom. The value obtained for the electronic total energy is -17.34 eV for the cell shown. The space group is F-43m (216). As for the density: 7.82 g/cm3.

=====

[8]
Compound: Li2ScRu
Source: Alexandria via LeMat-Bulk
Functional: GGA-PBE
Structure: optimized geometry

```
Li2ScRu
1.0
3.725 0.000 0.000
0.000 3.725 0.000
0.000 0.000 4.694
Li Sc Ru
2 1 1
Direct
0.000 0.500 0.000 Li
0.500 0.000 0.000 Li
0.000 0.000 0.500 Sc
0.500 0.500 0.500 Ru
```

Output
The value obtained for the magnetic moment is 0.00 Bohr magnetons per cell. The value obtained for the electronic total energy is -19.51 eV for the cell shown. The space group is P4/mmm (123). As for the density: 4.08 g/cm3. The calculation puts the energy above the lowest structure with this stoichiometry at 0.198 eV per formula unit.

=====

[9]
Compound: LiScRu
Source: Alexandria via LeMat-Bulk
Functional: GGA-PBE
Structure: optimized geometry

```
LiScRu
1.0
-1.668 1.668 4.221
1.668 -1.668 4.221
1.668 1.668 -4.221
Li Sc Ru
1 1 1
Direct
0.000 0.000 0.000 Li
0.310 0.310 0.000 Sc
0.648 0.648 0.000 Ru
```

Output
The value obtained for the magnetic moment is 0.00 Bohr magnetons per cell. The value obtained for the electronic total energy is -17.95 eV for the cell shown. The space group is I4mm (107). As for the density: 5.41 g/cm3.

=====

[10]
Compound: LiSc5Ru4
Source: Alexandria via LeMat-Bulk
Functional: GGA-PBE
Structure: optimized geometry

```
LiSc5Ru4
1.0
3.233 0.000 0.000
0.000 3.233 0.000
0.000 0.000 17.071
Li Sc Ru
1 5 4
Direct
0.000 0.000 0.000 Li
0.500 0.500 0.132 Sc
0.500 0.500 0.315 Sc
0.500 0.500 0.500 Sc
0.500 0.500 0.685 Sc
0.500 0.500 0.868 Sc
0.000 0.000 0.214 Ru
0.000 0.000 0.406 Ru
0.000 0.000 0.594 Ru
0.000 0.000 0.786 Ru
```

Output
The value obtained for the magnetic moment is 0.00 Bohr magnetons per cell. The value obtained for the electronic total energy is -75.52 eV for the cell shown. The space group is P4/mmm (123). As for the density: 5.92 g/cm3.

=====

[11]
Compound: LiScRu
Source: Alexandria via LeMat-Bulk
Functional: GGA-PBE
Structure: optimized geometry

```
LiScRu
1.0
4.368 0.000 0.000
-2.184 3.782 0.000
0.000 0.000 2.890
Li Sc Ru
1 1 1
Direct
0.000 0.000 0.000 Li
0.333 0.667 0.595 Sc
0.667 0.333 0.266 Ru
```

Output
The value obtained for the magnetic moment is 0.00 Bohr magnetons per cell. The value obtained for the electronic total energy is -17.70 eV for the cell shown. The space group is P3m1 (156). As for the density: 5.32 g/cm3.

=====

[12]
Compound: Li2ScRu
Source: Alexandria via LeMat-Bulk
Functional: GGA-PBE
Structure: optimized geometry

```
Li2ScRu
1.0
1.447 -2.325 0.000
1.447 2.325 0.000
0.000 0.000 9.959
Li Sc Ru
2 1 1
Direct
0.000 0.000 0.220 Li
0.000 0.000 0.780 Li
0.500 0.500 0.500 Sc
0.500 0.500 0.000 Ru
```

Output
The value obtained for the magnetic moment is 0.00 Bohr magnetons per cell. The value obtained for the electronic total energy is -18.09 eV for the cell shown. The space group is Cmmm (65). As for the density: 3.96 g/cm3. The calculation puts the energy above the lowest structure with this stoichiometry at 1.621 eV per formula unit.

=====

[13]
Compound: Li2ScRu
Source: Alexandria via LeMat-Bulk
Functional: GGA-PBE
Structure: optimized geometry

```
Li2ScRu
1.0
2.673 0.000 0.000
0.000 2.673 0.000
0.000 0.000 9.404
Li Sc Ru
2 1 1
Direct
0.000 0.000 0.215 Li
0.000 0.000 0.785 Li
0.500 0.500 0.500 Sc
0.500 0.500 0.000 Ru
```

Output
The value obtained for the magnetic moment is 0.69 Bohr magnetons per cell. The value obtained for the electronic total energy is -18.02 eV for the cell shown. The space group is P4/mmm (123). As for the density: 3.95 g/cm3. The calculation puts the energy above the lowest structure with this stoichiometry at 1.688 eV per formula unit.

=====

[14]
Compound: Li2ScRu
Source: Alexandria via LeMat-Bulk
Functional: GGA-PBE
Structure: optimized geometry

```
Li2ScRu
1.0
1.397 0.807 9.875
-1.397 0.807 9.875
0.000 -1.613 9.875
Li Sc Ru
2 1 1
Direct
0.240 0.240 0.240 Li
0.760 0.760 0.760 Li
0.000 0.000 0.000 Sc
0.500 0.500 0.500 Ru
```

Output
The value obtained for the magnetic moment is 0.28 Bohr magnetons per cell. The value obtained for the electronic total energy is -18.16 eV for the cell shown. The space group is R-3m (166). As for the density: 3.98 g/cm3. The calculation puts the energy above the lowest structure with this stoichiometry at 1.544 eV per formula unit.

=====

[15]
Compound: LiSc3Ru2
Source: Alexandria via LeMat-Bulk
Functional: GGA-PBE
Structure: optimized geometry

```
LiSc3Ru2
1.0
3.232 0.000 0.000
0.000 3.232 0.000
0.000 0.000 10.669
Li Sc Ru
1 3 2
Direct
0.000 0.000 0.000 Li
0.500 0.500 0.208 Sc
0.500 0.500 0.500 Sc
0.500 0.500 0.792 Sc
0.000 0.000 0.344 Ru
0.000 0.000 0.656 Ru
```

Output
The value obtained for the magnetic moment is 0.00 Bohr magnetons per cell. The value obtained for the electronic total energy is -42.09 eV for the cell shown. The space group is P4/mmm (123). As for the density: 5.13 g/cm3.